No. 1
# CaInPb3

A relaxed CaInPb3 crystal (PBE-GGA, the Alexandria database).

Computed properties:
The polymorph energy (0 for the lowest one) comes out at 202 kJ/mol of formula units. As for the calculated formation energy: 250 meV per atom. As for the spin magnetization: 0.00 μB/atom. For the raw total energy, the calculation gives -14.62 eV/cell.

CIF file:
```
data_CaInPb3
_chemical_formula_sum 'Ca1 In1 Pb3'
_symmetry_space_group_name_H-M 'P m -3 m'
_symmetry_Int_Tables_number 221
_symmetry_space_group_name_Hall '-P 4 2 3'
_cell_length_a 5.771
_cell_length_b 5.771
_cell_length_c 5.771
_cell_angle_alpha 90.00
_cell_angle_beta 90.00
_cell_angle_gamma 90.00
loop_
_atom_site_label
_atom_site_type_symbol
_atom_site_fract_x
_atom_site_fract_y
_atom_site_fract_z
_atom_site_occupancy
Ca1 Ca 0.000 0.000 0.000 1
In1 In 0.500 0.500 0.500 1
Pb1 Pb 0.000 0.500 0.500 1
```

=====

No. 2
# LiHgCl2

A relaxed LiHgCl2 crystal (PBE-GGA, the Alexandria database).

Computed properties:
The polymorph energy (0 for the lowest one) comes out at 2 kJ/mol of formula units. The value obtained for the uncorrected formation energy is -0.948 eV per atom. As for the spin magnetization: 0.00 μB/atom. For the raw total energy, the calculation gives -38.81 eV/cell.

CIF file:
```
data_LiHgCl2
_chemical_formula_sum 'Li4 Hg4 Cl8'
_symmetry_space_group_name_H-M 'I -4 2 d'
_symmetry_Int_Tables_number 122
_symmetry_space_group_name_Hall 'I -4 2bw'
_cell_length_a 6.190
_cell_length_b 6.190
_cell_length_c 11.583
_cell_angle_alpha 90.00
_cell_angle_beta 90.00
_cell_angle_gamma 90.00
loop_
_atom_site_label
_atom_site_type_symbol
_atom_site_fract_x
_atom_site_fract_y
_atom_site_fract_z
_atom_site_occupancy
Li1 Li 0.000 0.000 0.000 1
Hg1 Hg 0.000 0.000 0.500 1
Cl1 Cl 0.185 0.250 0.125 1
```